{"formula": "TbHo3Ir8", "functional": "PBE", "state": "relaxed", "lattice": [[5.3566, 0.0000, 0.0000], [-2.6783, 4.6389, 0.0000], [0.0000, 0.0000, 8.7060]], "species": ["Tb", "Ho", "Ho", "Ho", "Ir", "Ir", "Ir", "Ir", "Ir", "Ir", "Ir", "Ir"], "frac_coords": [[0.0000, 0.0000, 0.0000], [0.0000, 0.0000, 0.3660], [0.6667, 0.3333, 0.4996], [0.6667, 0.3333, 0.8652], [0.1634, 0.3268, 0.6822], [0.1634, 0.8366, 0.6822], [0.3333, 0.6667, 0.4326], [0.3333, 0.6667, 0.9325], [0.5033, 0.0067, 0.1832], [0.5033, 0.4967, 0.1832], [0.6732, 0.8366, 0.6822], [0.9933, 0.4967, 0.1832]], "e_form_kj_per_mol_fu": -947, "crystal_system": "trigonal", "final_energy_ev_per_atom": -8.2556}

=====

{"formula": "LiHoErSi", "functional": "PBE", "state": "relaxed", "lattice": [[0.0000, 3.4840, 3.4840], [3.4840, 0.0000, 3.4840], [3.4840, 3.4840, 0.0000]], "species": ["Li", "Ho", "Er", "Si"], "frac_coords": [[0.0000, 0.0000, 0.0000], [0.7500, 0.7500, 0.7500], [0.2500, 0.2500, 0.2500], [0.5000, 0.5000, 0.5000]], "crystal_system": "cubic", "final_energy_ev_per_atom": -4.4707, "formation_energy_uncorrected_ev_per_atom": -0.35}

=====

{"formula": "TlPdPbO4", "functional": "PBE", "state": "relaxed", "lattice": [[-3.0708, 3.3925, 5.4238], [3.0708, -3.3925, 5.4238], [3.0708, 3.3925, -5.4238]], "species": ["Tl", "Tl", "Pd", "Pd", "Pb", "Pb", "O", "O", "O", "O", "O", "O", "O", "O"], "frac_coords": [[0.4169, 0.1669, 0.2500], [0.5831, 0.8331, 0.7500], [0.0000, 0.0000, 0.5000], [0.0000, 0.5000, 0.0000], [0.0000, 0.5000, 0.5000], [0.5000, 0.5000, 0.0000], [0.1614, 0.7144, 0.4470], [0.2325, 0.2856, 0.9470], [0.2737, 0.2905, 0.5168], [0.2737, 0.7568, 0.9832], [0.7263, 0.2432, 0.0168], [0.7263, 0.7095, 0.4832], [0.7675, 0.7144, 0.0530], [0.8386, 0.2856, 0.5530]], "crystal_system": "orthorhombic", "final_energy_ev_per_atom": -5.0492, "formation_energy_uncorrected_ev_per_atom": -0.61}

=====

{"formula": "TaMnCd", "functional": "PBE", "state": "relaxed", "lattice": [[3.0645, 0.0000, 0.0000], [-1.5323, 2.6539, 0.0000], [0.0000, 0.0000, 6.5922]], "species": ["Ta", "Mn", "Cd"], "frac_coords": [[0.0000, 0.0000, 0.0000], [0.3333, 0.6667, 0.7386], [0.6667, 0.3333, 0.3899]], "e_form_kj_per_mol_fu": 103, "crystal_system": "trigonal", "de_polymorph_mev_per_atom": 115, "final_energy_ev_per_atom": -6.9562}

=====

{"formula": "ThZn6Fe6", "functional": "PBE", "state": "relaxed", "lattice": [[-2.4731, 4.3399, 4.3480], [2.4731, -4.3399, 4.3480], [2.4731, 4.3399, -4.3480]], "species": ["Th", "Zn", "Zn", "Zn", "Zn", "Zn", "Zn", "Fe", "Fe", "Fe", "Fe", "Fe", "Fe"], "frac_coords": [[0.0000, 0.0000, 0.0000], [0.2150, 0.5000, 0.7150], [0.3451, 0.3451, 0.0000], [0.3544, 0.0000, 0.3544], [0.6456, 0.0000, 0.6456], [0.6549, 0.6549, 0.0000], [0.7850, 0.5000, 0.2850], [0.0000, 0.0000, 0.5000], [0.0000, 0.5000, 0.0000], [0.2250, 0.7250, 0.5000], [0.5000, 0.0000, 0.0000], [0.5000, 0.5000, 0.5000], [0.7750, 0.2750, 0.5000]], "e_form_kj_per_mol_fu": -67, "crystal_system": "orthorhombic", "final_energy_ev_per_atom": -5.1177}

=====

{"formula": "DyY2Mg", "functional": "PBE", "state": "relaxed", "lattice": [[1.7287, 0.9981, 12.2480], [-1.7287, 0.9981, 12.2480], [0.0000, -1.9962, 12.2480]], "species": ["Dy", "Y", "Y", "Mg"], "frac_coords": [[0.0000, 0.0000, 0.0000], [0.4109, 0.4109, 0.4109], [0.5891, 0.5891, 0.5891], [0.5000, 0.5000, 0.5000]], "e_form_kj_per_mol_fu": 77, "crystal_system": "trigonal", "de_polymorph_mev_per_atom": 235, "final_energy_ev_per_atom": -4.5808}

=====

{"formula": "PrHgF", "functional": "PBE", "state": "relaxed", "lattice": [[0.0000, 7.6802, 3.8934], [4.8572, 0.0000, 3.8934], [4.8572, 7.6802, 0.0000]], "species": ["Pr", "Pr", "Pr", "Pr", "Hg", "Hg", "Hg", "Hg", "F", "F", "F", "F"], "frac_coords": [[0.2295, 0.7705, 0.3421], [0.5921, 0.9079, 0.4795], [0.7705, 0.2295, 0.6579], [0.9079, 0.5921, 0.0205], [0.1046, 0.2557, 0.7098], [0.2557, 0.1046, 0.9299], [0.3201, 0.5402, 0.9943], [0.5402, 0.3201, 0.1454], [0.5389, 0.7752, 0.2986], [0.7752, 0.5389, 0.3873], [0.8627, 0.9514, 0.4748], [0.9514, 0.8627, 0.7111]], "crystal_system": "orthorhombic", "final_energy_ev_per_atom": -4.0946, "formation_energy_uncorrected_ev_per_atom": -1.78}

=====

{"formula": "TbZn2Pt2", "functional": "PBE", "state": "relaxed", "lattice": [[4.8443, 0.0000, 0.0000], [0.0000, 4.6074, 0.0000], [-1.4374, 0.0000, 8.2339]], "species": ["Tb", "Tb", "Zn", "Zn", "Zn", "Zn", "Pt", "Pt", "Pt", "Pt"], "frac_coords": [[0.2015, 0.2500, 0.2711], [0.7985, 0.7500, 0.7289], [0.3305, 0.2500, 0.6473], [0.3549, 0.7500, 0.0018], [0.6451, 0.2500, 0.9982], [0.6695, 0.7500, 0.3527], [0.1178, 0.2500, 0.9066], [0.2090, 0.7500, 0.4946], [0.7910, 0.2500, 0.5054], [0.8822, 0.7500, 0.0934]], "e_form_kj_per_mol_fu": -375, "crystal_system": "monoclinic", "de_polymorph_mev_per_atom": 44, "final_energy_ev_per_atom": -4.6298}